# 1
Entry from the Alexandria database: an optimized crystal structure of La3Pm6Ho2Th (PBE).

Unit cell a=6.298 b=6.298 c=12.153 alpha=94.95 beta=94.95 gamma=119.97
Fractional coordinates of all 12 atoms:
La 0.000 0.000 0.000
La 0.333 0.667 0.000
La 0.667 0.333 0.000
Pm 0.089 0.419 0.257
Pm 0.251 0.251 0.744
Pm 0.419 0.089 0.257
Pm 0.581 0.911 0.743
Pm 0.749 0.749 0.256
Pm 0.911 0.581 0.743
Ho 0.167 0.833 0.500
Ho 0.833 0.167 0.500
Th 0.500 0.500 0.500

Values from the calculation:
Calculated formation energy   0.6 kcal/mol of atoms
Calculated volume   34.28 Å³ per atom
Spin magnetization   0.00 μB/cell
Space-group type   C2/m, No. 12
DFT total energy   -4.961 eV/atom

# 2
Entry from the Alexandria database: an optimized crystal structure of Mg3CrSb (PBE).

Unit cell a=5.156 b=5.156 c=5.156 alpha=90.00 beta=90.00 gamma=90.00
Fractional coordinates of all 5 atoms:
Mg 0.000 0.000 0.500
Mg 0.000 0.500 0.000
Mg 0.500 0.000 0.000
Cr 0.000 0.000 0.000
Sb 0.500 0.500 0.500

Values from the calculation:
Calculated volume   27.42 Å³ per atom
Spin magnetization   4.50 μB/cell
Distance to the lowest polymorph of the same formula   0.00 eV/f.u.
Space-group type   Pm-3m, No. 221
Formation energy without anion corrections   0.69 eV per atom
DFT total energy   -3.012 eV/atom

# 3
Entry from the Alexandria database: an optimized crystal structure of CaZrAlTl2 (PBE).

Unit cell a=5.601 b=5.601 c=5.852 alpha=90.00 beta=90.00 gamma=90.00
Fractional coordinates of all 5 atoms:
Ca 0.000 0.000 0.000
Zr 0.000 0.000 0.500
Al 0.500 0.500 0.000
Tl 0.000 0.500 0.500
Tl 0.500 0.000 0.500

Values from the calculation:
Calculated formation energy   18.4 kcal/mol of atoms
Calculated volume   36.72 Å³ per atom
Spin magnetization   0.00 μB/cell
Space-group type   P4/mmm, No. 123
DFT total energy   -3.005 eV/atom

# 4
Entry from the Alexandria database: an optimized crystal structure of Nb2Te7W2 (PBE).

Unit cell a=7.282 b=7.282 c=6.574 alpha=93.37 beta=93.37 gamma=112.10
Fractional coordinates of all 11 atoms:
Nb 0.145 0.855 0.000
Nb 0.855 0.145 0.000
Te 0.040 0.440 0.748
Te 0.196 0.196 0.229
Te 0.440 0.040 0.748
Te 0.500 0.500 0.500
Te 0.560 0.960 0.252
Te 0.804 0.804 0.771
Te 0.960 0.560 0.252
W 0.114 0.114 0.653
W 0.886 0.886 0.347

Values from the calculation:
Calculated volume   29.20 Å³ per atom
Spin magnetization   0.00 μB/cell
Space-group type   C2/m, No. 12
Formation energy without anion corrections   0.17 eV per atom
DFT total energy   -6.014 eV/atom

What is the spin magnetization in the first record?
0.00 μB/cell